DFT (PBE) results for a relaxed UTaV2 crystal.

Calculated values
D(E_F) = 24.8 states/eV/cell
ΔH_f (0 K) = 0.39 eV per atom

Cell: 2.8143 2.8143 29.9256 Å, 90.00 90.00 120.00°
Space group R-3m (No. 166, hexagonal axes)
One atom of each set of equivalent atoms:
U  0.0000  0.0000  0.0000
Ta  0.0000  0.0000  0.5000
V  0.0000  0.0000  0.2466